(1)
A plane-wave DFT calculation with PBE-GGA was carried out for a geometry-optimized La2Pm3Nd6Dy structure.

Its energy relative to the elements is 1.5 kJ/mol of atoms. As for the space group: No. 12.

Cell lengths 6.368, 6.368, 12.196 Å; angles 95.04, 95.04, 120.00 degrees
Fractional positions:
La  0.333  0.667  0.000
La  0.667  0.333  0.000
Pm  0.166  0.834  0.500
Pm  0.834  0.166  0.500
Pm  0.500  0.500  0.500
Nd  0.916  0.585  0.749
Nd  0.752  0.752  0.251
Nd  0.084  0.415  0.251
Nd  0.585  0.916  0.749
Nd  0.248  0.248  0.749
Nd  0.415  0.084  0.251
Dy  0.000  0.000  0.000



(2)
A plane-wave DFT calculation with PBE-GGA was carried out for a geometry-optimized LaPm5Nd2Dy structure.

Its energy relative to the elements is 25.1 kJ/mol of atoms. As for the space group: No. 140.

Cell lengths 8.920, 8.920, 10.133 Å; angles 116.11, 116.11, 90.00 degrees
Fractional positions:
La  0.250  0.250  0.500
La  0.750  0.750  0.500
Pm  0.929  0.429  0.275
Pm  0.654  0.154  0.725
Pm  0.071  0.571  0.725
Pm  0.154  0.071  0.725
Pm  0.571  0.654  0.725
Pm  0.846  0.929  0.275
Pm  0.429  0.346  0.275
Pm  0.346  0.846  0.275
Pm  0.500  0.500  0.000
Pm  0.000  0.000  0.000
Nd  0.117  0.383  0.000
Nd  0.617  0.117  0.000
Nd  0.383  0.883  0.000
Nd  0.883  0.617  0.000
Dy  0.250  0.750  0.500
Dy  0.750  0.250  0.500



(3)
A plane-wave DFT calculation with PBE-GGA was carried out for a geometry-optimized LaPm5NdDy2 structure.

Its energy relative to the elements is 25.9 kJ/mol of atoms. As for the space group: No. 140.

Cell lengths 8.824, 8.824, 10.166 Å; angles 115.72, 115.72, 90.00 degrees
Fractional positions:
La  0.250  0.250  0.500
La  0.750  0.750  0.500
Pm  0.936  0.436  0.267
Pm  0.668  0.168  0.733
Pm  0.064  0.564  0.733
Pm  0.168  0.064  0.733
Pm  0.564  0.668  0.733
Pm  0.832  0.936  0.267
Pm  0.436  0.332  0.267
Pm  0.332  0.832  0.267
Pm  0.500  0.500  0.000
Pm  0.000  0.000  0.000
Nd  0.250  0.750  0.500
Nd  0.750  0.250  0.500
Dy  0.119  0.381  0.000
Dy  0.619  0.119  0.000
Dy  0.381  0.881  0.000
Dy  0.881  0.619  0.000



(4)
A plane-wave DFT calculation with PBE-GGA was carried out for a geometry-optimized La2PmNd2Dy structure.

Its energy relative to the elements is 4.9 kJ/mol of atoms. As for the space group: No. 51.

Cell lengths 5.810, 7.153, 10.076 Å; angles 90.00, 90.00, 90.00 degrees
Fractional positions:
La  0.500  0.008  0.000
La  0.000  0.258  0.172
La  0.500  0.508  0.000
La  0.000  0.758  0.828
Pm  0.000  0.008  0.500
Pm  0.000  0.508  0.500
Nd  0.000  0.257  0.835
Nd  0.500  0.258  0.332
Nd  0.000  0.757  0.165
Nd  0.500  0.758  0.668
Dy  0.500  0.257  0.662
Dy  0.500  0.757  0.338



Which formula does entry 1 have?
La2Pm3Nd6Dy



energy relative to the elements of number 1 (La2Pm3Nd6Dy)?
1.5 kJ/mol of atoms



Which formula does entry 1 have?
La2Pm3Nd6Dy